[1]
A geometry-optimized Hg2PbO4 structure, computed with PBE.

Properties
SG ... C2/m, No. 12
N(E_F) ... 2.27 states/eV per cell
VASP energy ... -3.951 eV per atom
Raw formation energy ... -502 meV/atom

Cell and atoms, written as extended XYZ:
```
7
Lattice="6.380 -1.788 0.000 6.380 1.788 0.000 -2.112 0.000 5.089" Properties=species:S:1:pos:R:3 pbc="T T T"
Hg 2.016 0.000 1.026
Hg 8.633 0.000 4.063
Pb 5.325 0.000 2.544
O 0.045 0.000 1.666
O 4.103 0.000 0.761
O 6.546 0.000 4.328
O 10.604 0.000 3.423
```

=====

[2]
A geometry-optimized Ta2CrAg structure, computed with PBE.

Properties
ΔH_f (0 K) ... 1.239 eV per formula unit
SG ... P4mm, No. 99
ΔE to the lowest computed polymorph ... 0.101 eV per atom
N(E_F) ... 3.78 states/eV per cell
VASP energy ... -8.735 eV per atom

Cell and atoms, written as extended XYZ:
```
4
Lattice="3.250 0.000 0.000 0.000 3.250 0.000 0.000 0.000 6.381" Properties=species:S:1:pos:R:3 pbc="T T T"
Ta 0.000 0.000 0.000
Ta 1.625 1.625 1.637
Cr 1.625 1.625 5.044
Ag 0.000 0.000 3.390
```

=====

[3]
A geometry-optimized Pm3Er3Ge4 structure, computed with PBE.

Properties
ΔH_f (0 K) ... -7.864 eV per formula unit
SG ... Amm2, No. 38
N(E_F) ... 8.58 states/eV per cell
VASP energy ... -5.427 eV per atom

Cell and atoms, written as extended XYZ:
```
10
Lattice="4.333 0.000 0.000 0.000 5.391 5.387 0.000 -5.391 5.387" Properties=species:S:1:pos:R:3 pbc="T T T"
Pm 0.000 0.000 0.000
Pm 0.000 -1.882 7.230
Pm 0.000 1.882 7.230
Er 0.000 0.000 3.729
Er 2.167 -2.699 4.552
Er 2.167 2.699 4.552
Ge 2.167 -1.315 1.897
Ge 2.167 1.315 1.897
Ge 2.167 0.000 5.847
Ge 2.167 0.000 8.568
```

=====

Question: Which formula does entry 1 have?
Answer: Hg2PbO4

=====

Question: What is the formula in the second record?
Answer: Ta2CrAg

=====

Question: Which value of N(E_F) does entry 3 give?
Answer: 8.58 states/eV per cell

=====

Copy entry 3 word for word.
A geometry-optimized Pm3Er3Ge4 structure, computed with PBE.

Properties
ΔH_f (0 K) ... -7.864 eV per formula unit
SG ... Amm2, No. 38
N(E_F) ... 8.58 states/eV per cell
VASP energy ... -5.427 eV per atom

Cell and atoms, written as extended XYZ:
```
10
Lattice="4.333 0.000 0.000 0.000 5.391 5.387 0.000 -5.391 5.387" Properties=species:S:1:pos:R:3 pbc="T T T"
Pm 0.000 0.000 0.000
Pm 0.000 -1.882 7.230
Pm 0.000 1.882 7.230
Er 0.000 0.000 3.729
Er 2.167 -2.699 4.552
Er 2.167 2.699 4.552
Ge 2.167 -1.315 1.897
Ge 2.167 1.315 1.897
Ge 2.167 0.000 5.847
Ge 2.167 0.000 8.568
```